[1]
DFT (PBE) results for an optimized crystal structure of Pm3Y5Er3.

Calculated values
DFT formation energy: 0.343 eV per atom
Space group: P-62m
Energy relative to the lowest polymorph listed for this composition: 0 meV per atom

Cell lengths 3.4414, 11.1824, 11.1824 Å; angles 120.00, 90.00, 90.00 degrees
Element x y z (fractional)
Er: 0.0000 0.0000 0.5920
Pm: 0.5000 0.0000 0.3406
Pm: 0.5000 0.3406 0.0000
Y: 0.5000 0.3333 0.6667
Y: 0.5000 0.8384 0.0000
Pm: 0.5000 0.6594 0.6594
Er: 0.0000 0.4080 0.4080
Y: 0.5000 0.1616 0.1616
Y: 0.5000 0.0000 0.8384
Er: 0.0000 0.5920 0.0000
Y: 0.5000 0.6667 0.3333

[2]
DFT (PBE) results for an optimized crystal structure of Ac2Al3ZnPd4.

Calculated values
DFT formation energy: -0.792 eV per atom
Space group: P-4m2

Cell lengths 4.5125, 4.5125, 10.2447 Å; angles 90.00, 90.00, 90.00 degrees
Element x y z (fractional)
Ac: 0.0000 0.5000 0.7512
Ac: 0.5000 0.0000 0.2488
Pd: 0.5000 0.0000 0.6319
Al: 0.0000 0.5000 0.1156
Pd: 0.0000 0.5000 0.3681
Zn: 0.5000 0.5000 0.5000
Pd: 0.5000 0.5000 0.0000
Al: 0.0000 0.0000 0.5000
Pd: 0.0000 0.0000 0.0000
Al: 0.5000 0.0000 0.8844

[3]
DFT (PBE) results for an optimized crystal structure of CoBiP2S.

Calculated values
Space group: P4/mmm
Energy relative to the lowest polymorph listed for this composition: 1331 meV per atom

Cell lengths 5.2519, 5.2519, 5.1819 Å; angles 90.00, 90.00, 90.00 degrees
Element x y z (fractional)
Bi: 0.0000 0.0000 0.0000
P: 0.5000 0.0000 0.0000
P: 0.0000 0.5000 0.0000
S: 0.0000 0.0000 0.5000
Co: 0.5000 0.5000 0.5000

Calculated total magnetic moment in order - 0.00 0.00 3.70 μB/cell
Calculated volume in order - 33.9 20.9 28.6 A^3/atom
Calculated ρ in order - 6.2 8.2 4.2 g cm⁻³